Below is CdB4 after structural relaxation, with properties calculated at the PBE-GGA level.

Properties
The value obtained for the magnetic moment is 0.00 μB per cell. The energy of formation from the pure elements is 3116 meV per atom.

abc: 4.3444 4.3444 4.3444
angles: 90.00 90.00 90.00
Last column: nearest neighbours and their distance in Å.
Space group Pm-3m (No. 221)
One atom of each set of equivalent atoms:
Cd 0.0000 0.0000 0.0000 [1 per cell]  6 B 2.17
B 0.0000 0.0000 0.5000 [3 per cell]  2 Cd 2.17
B 0.5000 0.5000 0.5000 [1 per cell]  12 B 3.07

***

Below is CdB2 after structural relaxation, with properties calculated at the PBE-GGA level.

Properties
The value obtained for the magnetic moment is 0.00 μB per cell. The energy of formation from the pure elements is 2568 meV per atom.

abc: 5.0251 5.0251 5.0251
angles: 90.00 90.00 90.00
Last column: nearest neighbours and their distance in Å.
Space group Pn-3m (No. 224, origin choice 2)
One atom of each set of equivalent atoms:
Cd 0.2500 0.2500 0.2500 [2 per cell]  4 B 2.18
B 0.0000 0.0000 0.0000 [4 per cell]  2 Cd 2.18

***

Below is CeCdB after structural relaxation, with properties calculated at the PBE-GGA level.

Properties
The value obtained for the magnetic moment is 1.46 μB per cell. The energy of formation from the pure elements is -82 meV per atom.

abc: 9.2981 3.7629 7.2536
angles: 90.00 100.93 90.00
Last column: nearest neighbours and their distance in Å.
Space group C2/m (No. 12)
One atom of each set of equivalent atoms:
Ce 0.1196 0.0000 0.3288 [4 per cell]  5 B 2.64-2.83
Cd 0.1326 0.5000 0.9205 [4 per cell]  1 B 2.50
B 0.0797 0.5000 0.5697 [4 per cell]  1 B 1.63

***

Below is CeCd4B3Pt12 after structural relaxation, with properties calculated at the PBE-GGA level.

Properties
The value obtained for the magnetic moment is 0.00 μB per cell. The energy of formation from the pure elements is 45 meV per atom.

abc: 8.9152 8.9152 8.9152
angles: 90.00 90.00 90.00
Last column: nearest neighbours and their distance in Å.
Space group Im-3m (No. 229)
One atom of each set of equivalent atoms:
Ce 0.0000 0.0000 0.0000 [2 per cell]  6 Pt 2.51
Cd 0.2500 0.2500 0.2500 [8 per cell]  12 Pt 3.15-3.16
B 0.0000 0.0000 0.5000 [6 per cell]  2 Pt 1.95
Pt 0.0000 0.0000 0.2816 [12 per cell]  1 B 1.95
Pt 0.0000 0.2500 0.5000 [12 per cell]  2 B 2.23

***

Below is Ce2Cd2BRh4 after structural relaxation, with properties calculated at the PBE-GGA level.

Properties
The value obtained for the magnetic moment is 2.02 μB per cell. The energy of formation from the pure elements is -325 meV per atom.

abc: 6.1658 6.1658 8.5150
angles: 90.00 90.00 90.00
Last column: nearest neighbours and their distance in Å.
Space group I4/mmm (No. 139)
One atom of each set of equivalent atoms:
Ce 0.0000 0.0000 0.2042 [4 per cell]  1 B 2.52
Cd 0.0000 0.5000 0.2500 [4 per cell]  8 Rh 3.05, 4 Ce 3.11
B 0.0000 0.0000 0.5000 [2 per cell]  4 Rh 2.13
Rh 0.2442 0.2442 0.5000 [8 per cell]  1 B 2.13

***

Below is Ce2CdB2Rh5 after structural relaxation, with properties calculated at the PBE-GGA level.

Properties
The value obtained for the magnetic moment is 0.98 μB per cell. The energy of formation from the pure elements is -654 meV per atom.

abc: 9.6923 9.6923 3.2948
angles: 90.00 90.00 90.00
Last column: nearest neighbours and their distance in Å.
Space group P4/mbm (No. 127)
One atom of each set of equivalent atoms:
Ce 0.1772 0.3228 0.0000 [4 per cell]  3 B 2.77-2.94, 10 Rh 2.93-3.06
Cd 0.0000 0.0000 0.0000 [2 per cell]  8 Rh 2.85
B 0.1205 0.6205 0.0000 [4 per cell]  6 Rh 2.25-2.33
Rh 0.0000 0.5000 0.5000 [2 per cell]  4 B 2.33
Rh 0.0714 0.7713 0.5000 [8 per cell]  2 B 2.25

***

Below is CdB3Cl after structural relaxation, with properties calculated at the PBE-GGA level.

Properties
The value obtained for the magnetic moment is 0.00 μB per cell. The relative energy among the computed polymorphs comes out at 0.0 meV/atom. The calculation puts the uncorrected formation energy at 1041 kJ/mol of formula units.

abc: 4.5272 4.5272 4.5272
angles: 90.00 90.00 90.00
Last column: nearest neighbours and their distance in Å.
Space group Pm-3m (No. 221)
One atom of each set of equivalent atoms:
Cd 0.0000 0.0000 0.0000 [1 per cell]  6 B 2.26
B 0.0000 0.0000 0.5000 [3 per cell]  2 Cd 2.26
Cl 0.5000 0.5000 0.5000 [1 per cell]  12 B 3.20

***

Below is CdB2Cl6 after structural relaxation, with properties calculated at the PBE-GGA level.

Properties
The value obtained for the magnetic moment is 0.00 μB per cell. The calculation puts the uncorrected formation energy at -682 kJ/mol of formula units.

abc: 17.3550 11.3609 7.3713
angles: 90.00 112.28 90.00
Last column: nearest neighbours and their distance in Å.
Space group C2/c (No. 15)
One atom of each set of equivalent atoms:
Cd 0.0000 0.0092 0.2500 [4 per cell]  2 Cd 3.69, 4 Cl 4.06-4.13
B 0.1696 0.4082 0.6948 [8 per cell]  3 Cl 1.74-1.75
Cl 0.1047 0.2851 0.6289 [8 per cell]  1 B 1.74
Cl 0.1268 0.4506 0.1536 [8 per cell]  1 B 1.75
Cl 0.2226 0.1097 0.1981 [8 per cell]  1 B 1.74

***

Below is CdBCl2 after structural relaxation, with properties calculated at the PBE-GGA level.

Properties
The value obtained for the magnetic moment is 0.00 μB per cell. The relative energy among the computed polymorphs comes out at 262.3 meV/atom. The calculation puts the uncorrected formation energy at 181 kJ/mol of formula units.

abc: 3.1816 3.1816 28.1092
angles: 90.00 90.00 120.00
Last column: nearest neighbours and their distance in Å.
Space group R-3m (No. 166, hexagonal axes)
One atom of each set of equivalent atoms:
Cd 0.0000 0.0000 0.0000 [3 per cell]  6 Cd 3.18, 2 Cl 3.35
B 0.0000 0.0000 0.5000 [3 per cell]  6 Cl 2.27
Cl 0.0000 0.0000 0.1193 [6 per cell]  3 B 2.27

***

Below is Cd2BCl after structural relaxation, with properties calculated at the PBE-GGA level.

Properties
The value obtained for the magnetic moment is 0.00 μB per cell. The relative energy among the computed polymorphs comes out at 0.0 meV/atom. The calculation puts the uncorrected formation energy at 131 kJ/mol of formula units.

abc: 6.1658 6.1658 10.2229
angles: 90.00 90.00 90.00
Last column: nearest neighbours and their distance in Å.
Space group I-42d (No. 122)
One atom of each set of equivalent atoms:
Cd 0.1774 0.2500 0.1250 [8 per cell]  2 B 2.28
B 0.0000 0.0000 0.0000 [4 per cell]  4 Cd 2.28
Cl 0.0000 0.0000 0.5000 [4 per cell]  4 Cd 2.82

***

Below is CdBCl2 after structural relaxation, with properties calculated at the PBE-GGA level.

Properties
The value obtained for the magnetic moment is 0.00 μB per cell. The relative energy among the computed polymorphs comes out at 0.0 meV/atom. The calculation puts the uncorrected formation energy at 80 kJ/mol of formula units.

abc: 3.2772 3.2772 29.2986
angles: 90.00 90.00 120.00
Last column: nearest neighbours and their distance in Å.
Space group R-3m (No. 166, hexagonal axes)
One atom of each set of equivalent atoms:
Cd 0.0000 0.0000 0.0000 [3 per cell]  6 Cd 3.28
B 0.0000 0.0000 0.5000 [3 per cell]  2 Cl 1.68
Cl 0.0000 0.0000 0.4427 [6 per cell]  1 B 1.68

***

Below is Cd2BCl after structural relaxation, with properties calculated at the PBE-GGA level.

Properties
The value obtained for the magnetic moment is 0.00 μB per cell. The relative energy among the computed polymorphs comes out at 558.6 meV/atom. The calculation puts the uncorrected formation energy at 347 kJ/mol of formula units.

abc: 6.8778 6.8778 6.8778
angles: 90.00 90.00 90.00
Last column: nearest neighbours and their distance in Å.
Space group Fm-3m (No. 225)
One atom of each set of equivalent atoms:
Cd 0.2500 0.2500 0.2500 [8 per cell]  4 Cl 2.98, 4 B 2.98
B 0.0000 0.0000 0.0000 [4 per cell]  8 Cd 2.98
Cl 0.0000 0.0000 0.5000 [4 per cell]  8 Cd 2.98